Entry 1:
The following is a PBE calculation of a relaxed structure of TaRu2Rh, from Alexandria.

The theoretical density comes out at 13.38 g/cm3. For the energy above the lowest structure with this stoichiometry, the calculation gives 0.351 eV per atom. The calculation puts the calculated volume at 15.08 Å³/atom. As for the density of states at the Fermi level: 12.9 states/eV/cell. As for the total DFT energy (no corrections): -9.422 eV/atom. For the formation energy, the calculation gives 0.0167 eV/atom.

The space group is R3m (No. 160, hexagonal axes) and the conventional cell measures 2.7762, 2.7762 and 27.1152 Å, with angles of 90.00, 90.00 and 120.00 degrees. The distinct sites, in fractional coordinates, are Ta at (0.0000, 0.0000, 0.0000), Ru at (0.0000, 0.0000, 0.2449), Ru at (0.0000, 0.0000, 0.5004) and Rh at (0.0000, 0.0000, 0.7507).

---

Entry 2:
The following is a PBE calculation of a relaxed structure of ScSb2Rh, from Alexandria.

The theoretical density comes out at 7.60 g/cm3. The calculation puts the energy relative to the elements, uncorrected at -428 meV/atom. The calculation puts the calculated volume at 21.37 Å³/atom. As for the density of states at the Fermi level: 3.3 states/eV/cell. As for the total DFT energy (no corrections): -5.910 eV/atom.

The space group is P2/m (No. 10) and the conventional cell measures 3.2031, 4.2728 and 6.2461 Å, with angles of 90.00, 90.31 and 90.00 degrees. The distinct sites, in fractional coordinates, are Sc at (0.0000, 0.0000, 0.0000), Sb at (0.4929, 0.5000, 0.7493) and Rh at (0.5000, 0.0000, 0.5000).

---

Entry 3:
The following is a PBE calculation of a relaxed structure of Al4CdRh5, from Alexandria.

The theoretical density comes out at 8.60 g/cm3. The calculation puts the calculated volume at 14.20 Å³/atom. As for the density of states at the Fermi level: 1.4 states/eV/cell. As for the total DFT energy (no corrections): -6.198 eV/atom. For the formation energy, the calculation gives -0.9335 eV/atom.

The space group is P4/mmm (No. 123) and the conventional cell measures 3.0063, 3.0063 and 15.7075 Å, with angles of 90.00, 90.00 and 90.00 degrees. The distinct sites, in fractional coordinates, are Al at (0.0000, 0.0000, 0.0966), Al at (0.0000, 0.0000, 0.2908), Cd at (0.0000, 0.0000, 0.5000), Rh at (0.5000, 0.5000, 0.0000), Rh at (0.5000, 0.5000, 0.1896) and Rh at (0.5000, 0.5000, 0.3773).

---

Entry 4:
The following is a PBE calculation of a relaxed structure of B5Ru, from Alexandria.

The theoretical density comes out at 5.59 g/cm3. The calculation puts the calculated volume at 7.67 Å³/atom. As for the density of states at the Fermi level: 3.4 states/eV/cell. As for the total DFT energy (no corrections): -6.300 eV/atom. For the formation energy, the calculation gives 0.8107 eV/atom.

The space group is Cmmm (No. 65) and the conventional cell measures 3.6101, 9.3717 and 2.7219 Å, with angles of 90.00, 90.00 and 90.00 degrees. The distinct sites, in fractional coordinates, are B at (0.0000, 0.0000, 0.0000), B at (0.0000, 0.1553, 0.5000), B at (0.0000, 0.2841, 0.0000) and Ru at (0.0000, 0.5000, 0.5000).

---

Entry 5:
The following is a PBE calculation of a relaxed structure of Ac2Pr3Pb2, from Alexandria.

The theoretical density comes out at 8.17 g/cm3. The calculation puts the calculated volume at 37.50 Å³/atom. As for the density of states at the Fermi level: 18.0 states/eV/cell. As for the total DFT energy (no corrections): -4.614 eV/atom. For the formation energy, the calculation gives -0.3325 eV/atom.

The space group is C2/m (No. 12) and the conventional cell measures 12.8367, 4.7369 and 9.2085 Å, with angles of 90.00, 110.35 and 90.00 degrees. The distinct sites, in fractional coordinates, are Ac at (0.1382, 0.0000, 0.2904), Pr at (0.0000, 0.5000, 0.5000), Pr at (0.1302, 0.5000, 0.9442) and Pb at (0.1620, 0.0000, 0.7046).

---

Entry 6:
The following is a PBE calculation of a relaxed structure of PrEr3Tm6Th2, from Alexandria.

The theoretical density comes out at 9.45 g/cm3. The calculation puts the calculated volume at 31.06 Å³/atom. As for the density of states at the Fermi level: 35.1 states/eV/cell. As for the total DFT energy (no corrections): -4.974 eV/atom. For the formation energy, the calculation gives 0.0374 eV/atom.

The space group is C2/m (No. 12) and the conventional cell measures 6.1385, 10.6214 and 11.6145 Å, with angles of 90.00, 100.15 and 90.00 degrees. The distinct sites, in fractional coordinates, are Pr at (0.0000, 0.0000, 0.0000), Er at (0.0000, 0.1663, 0.5000), Er at (0.0000, 0.5000, 0.5000), Tm at (0.2456, 0.5000, 0.2500), Tm at (0.2471, 0.3310, 0.7499) and Th at (0.0000, 0.3332, 0.0000).

---

Entry 7:
The following is a PBE calculation of a relaxed structure of ScTc2Sb, from Alexandria.

The theoretical density comes out at 8.06 g/cm3. The calculation puts the energy relative to the elements, uncorrected at 144 meV/atom. The calculation puts the calculated volume at 18.67 Å³/atom. As for the density of states at the Fermi level: 11.0 states/eV/cell. As for the total DFT energy (no corrections): -7.653 eV/atom.

The space group is R3m (No. 160, hexagonal axes) and the conventional cell measures 3.1404, 3.1404 and 26.2326 Å, with angles of 90.00, 90.00 and 120.00 degrees. The distinct sites, in fractional coordinates, are Sc at (0.0000, 0.0000, 0.0000), Tc at (0.0000, 0.0000, 0.2519), Tc at (0.0000, 0.0000, 0.5170) and Sb at (0.0000, 0.0000, 0.7626).

---

Entry 8:
The following is a PBE calculation of a relaxed structure of ThUZn4, from Alexandria.

The theoretical density comes out at 10.33 g/cm3. The calculation puts the calculated volume at 19.60 Å³/atom. As for the density of states at the Fermi level: 35.2 states/eV/cell. As for the total DFT energy (no corrections): -3.989 eV/atom. For the formation energy, the calculation gives -0.0217 eV/atom.

The space group is F-43m (No. 216) and the conventional cell measures 7.7778, 7.7778 and 7.7778 Å, with angles of 90.00, 90.00 and 90.00 degrees. The distinct sites, in fractional coordinates, are Th at (0.0000, 0.0000, 0.0000), U at (0.2500, 0.2500, 0.2500) and Zn at (0.1242, 0.1242, 0.6242).